Record 1
VASP calculation (GGA-PBEsol) on a geometry-optimized Li2PtW structure.

Symmetry: I4/mmm (139)
E_form: 6.095 kcal/mol of atoms
Spin magnetization: 0.000 μB per atom
Offset from the most stable computed form: 1.08 eV/f.u.
Fermi-level density of states: 3.85 states/eV per cell

Structure (POSCAR):
```
Li2PtW
1.0
-1.810 1.810 4.553
1.810 -1.810 4.553
1.810 1.810 -4.553
Li Pt W
2 1 1
direct
0.250 0.750 0.500 Li
0.750 0.250 0.500 Li
0.000 0.000 0.000 Pt
0.500 0.500 0.000 W
```

Record 2
VASP calculation (GGA-PBEsol) on a geometry-optimized LaIn2W structure.

Symmetry: Cmmm (65)
E_form: 10.104 kcal/mol of atoms
Spin magnetization: 0.006 μB per atom
Offset from the most stable computed form: 0.25 eV/f.u.
Fermi-level density of states: 3.56 states/eV per cell

Structure (POSCAR):
```
LaIn2W
1.0
3.026 -4.915 0.000
3.026 4.915 0.000
0.000 0.000 2.964
La In W
1 2 1
direct
0.000 0.000 0.000 La
0.000 0.500 0.500 In
0.500 0.000 0.500 In
0.500 0.500 0.000 W
```

Record 3
VASP calculation (GGA-PBEsol) on a geometry-optimized TiOs structure.

Symmetry: Pm-3m (221)
E_form: -16.408 kcal/mol of atoms
Spin magnetization: 0.000 μB per atom
Fermi-level density of states: 0.40 states/eV per cell

Structure (POSCAR):
```
TiOs
1.0
3.059 0.000 0.000
0.000 3.059 0.000
0.000 0.000 3.059
Ti Os
1 1
direct
0.000 0.000 0.000 Ti
0.500 0.500 0.500 Os
```